# 1
Below is crystalline Li7MnO4F2 at its relaxed geometry, with properties calculated at the PBE with a Hubbard U level.

Properties
E (eV per atom): -5.2602

Cell: 5.8863 5.8291 9.8244 Å, 107.26 77.24 119.69°
Last column: magnetic moment on the atom in μB.
Fractional coordinates of all 28 atoms:
Li1 0.0942 0.4223 0.6792  0.00
Li2 0.3670 0.0695 0.1642  0.00
Li3 0.4964 0.4330 0.7323  0.00
Li4 0.0626 0.7820 0.9471  0.00
Li5 0.0860 0.0203 0.3958  0.00
Li6 0.6317 0.3331 0.9624  -0.01
Li7 0.0862 0.5321 0.3957  0.00
Li8 0.5942 0.8075 0.9486  0.00
Li9 0.0829 0.9015 0.6493  0.00
Li10 0.0624 0.2992 0.9471  0.00
Li11 0.4900 0.5031 0.4453  0.00
Li12 0.4968 0.8679 0.7323  0.00
Li13 0.8530 0.5696 0.2145  0.01
Li14 0.3671 0.5328 0.1641  0.00
Mn1 0.7589 0.0195 0.2087  3.84
Mn2 0.4914 0.0148 0.4669  3.83
O1 0.2870 0.7225 0.5676  -0.01
O2 0.2412 0.7901 0.2680  0.11
O3 0.2655 0.5980 0.8589  0.00
O4 0.7239 0.8540 0.3654  -0.04
O5 0.7358 0.6985 0.0702  -0.01
O6 0.2868 0.2030 0.5676  -0.01
O7 0.7356 0.1793 0.0704  -0.01
O8 0.7239 0.3067 0.3655  -0.04
F1 0.7884 0.8120 0.7632  0.00
F2 0.2610 0.1670 0.0012  0.00
F3 0.6909 0.2600 0.7569  0.01
F4 0.2392 0.3008 0.2915  0.01

***

# 2
Below is crystalline LiMnOF2 at its relaxed geometry, with properties calculated at the PBE with a Hubbard U level.

Properties
E (eV per atom): -5.9263

Cell: 5.2488 9.9042 5.1240 Å, 106.55 62.11 91.80°
Last column: magnetic moment on the atom in μB.
Fractional coordinates of all 20 atoms:
Li1 0.4878 0.7063 0.0923  0.00
Li2 0.0795 0.7954 0.8614  0.00
Li3 0.9205 0.2046 0.1386  0.00
Li4 0.5122 0.2937 0.9077  0.00
Mn1 0.3366 0.0165 0.3174  3.93
Mn2 0.1599 0.4869 0.6460  3.92
Mn3 0.6634 0.9835 0.6826  3.93
Mn4 0.8401 0.5131 0.3540  3.92
O1 0.1337 0.3823 0.2915  -0.09
O2 0.5990 0.1163 0.0597  -0.10
O3 0.4010 0.8837 0.9403  -0.10
O4 0.8663 0.6177 0.7085  -0.09
F1 0.1541 0.6186 0.0240  0.03
F2 0.0937 0.8863 0.5463  0.03
F3 0.4982 0.6216 0.4150  0.03
F4 0.3035 0.1288 0.7209  0.03
F5 0.6965 0.8712 0.2791  0.03
F6 0.5018 0.3784 0.5850  0.03
F7 0.9063 0.1137 0.4537  0.03
F8 0.8459 0.3814 0.9760  0.03

***

# 3
Below is crystalline LiMn3OF5 at its relaxed geometry, with properties calculated at the PBE with a Hubbard U level.

Properties
E (eV per atom): -6.3274

Cell: 6.3065 6.3469 6.3412 Å, 92.44 92.46 92.22°
Last column: magnetic moment on the atom in μB.
Fractional coordinates of all 20 atoms:
Li1 0.4894 0.5025 0.5151  0.00
Li2 0.0083 0.0175 0.0264  0.00
Mn1 0.7268 0.4451 0.9132  4.67
Mn2 0.0669 0.2441 0.5503  4.67
Mn3 0.5890 0.0784 0.2631  4.68
Mn4 0.4363 0.9046 0.7513  4.67
Mn5 0.9276 0.7600 0.4259  4.68
Mn6 0.2618 0.5651 0.0581  4.67
O1 0.9103 0.0630 0.3203  0.08
O2 0.4605 0.5950 0.8176  0.07
F1 0.6820 0.0989 0.9121  0.05
F2 0.0634 0.3091 0.8996  0.04
F3 0.4053 0.1811 0.5452  0.05
F4 0.8197 0.4758 0.5850  0.05
F5 0.1870 0.5352 0.3904  0.04
F6 0.5428 0.4034 0.2035  0.06
F7 0.0927 0.9128 0.7033  0.06
F8 0.5797 0.7978 0.4518  0.06
F9 0.9334 0.6785 0.0773  0.05
F10 0.3170 0.9321 0.0903  0.05

***

# 4
Below is crystalline Li6Mn2O5F2 at its relaxed geometry, with properties calculated at the PBE with a Hubbard U level.

Properties
E (eV per atom): -5.6860

Cell: 5.8689 5.8821 9.9696 Å, 95.98 93.43 118.19°
Last column: magnetic moment on the atom in μB.
Fractional coordinates of all 30 atoms:
Li1 0.7914 0.8651 0.9060  0.00
Li2 0.5255 0.8638 0.3930  0.00
Li3 0.0961 0.8984 0.4229  0.00
Li4 0.3088 0.8711 0.9083  0.00
Li5 0.6693 0.5834 0.1076  0.00
Li6 0.9238 0.5883 0.6038  0.00
Li7 0.0762 0.4117 0.3962  0.00
Li8 0.3307 0.4166 0.8924  0.00
Li9 0.6912 0.1289 0.0917  0.00
Li10 0.9039 0.1016 0.5771  0.00
Li11 0.4745 0.1362 0.6070  0.00
Li12 0.2086 0.1349 0.0940  0.00
Mn1 0.2013 0.6169 0.1222  3.87
Mn2 0.4459 0.6140 0.6235  3.87
Mn3 0.5541 0.3860 0.3765  3.87
Mn4 0.7987 0.3831 0.8778  3.87
O1 0.4971 0.7581 0.0276  -0.03
O2 0.2645 0.7490 0.5255  -0.03
O3 0.7475 0.7330 0.4807  0.02
O4 0.3582 0.4804 0.2476  0.00
O5 0.0144 0.7504 0.0167  0.02
O6 0.9856 0.2496 0.9833  0.02
O7 0.6418 0.5196 0.7524  0.00
O8 0.2525 0.2670 0.5193  0.02
O9 0.7355 0.2510 0.4745  -0.03
O10 0.5029 0.2419 0.9724  -0.03
F1 0.8740 0.4641 0.2309  0.01
F2 0.1260 0.5359 0.7691  0.01
F3 0.3318 0.0041 0.2713  0.02
F4 0.6682 0.9959 0.7287  0.02

***

# 5
Below is crystalline LiMnOF2 at its relaxed geometry, with properties calculated at the PBE with a Hubbard U level.

Properties
E (eV per atom): -5.9815

Cell: 6.6020 6.6020 5.3159 Å, 83.49 96.51 95.06°
Last column: magnetic moment on the atom in μB.
Fractional coordinates of all 20 atoms:
Li1 0.2185 0.6080 0.6655  0.00
Li2 0.3920 0.7815 0.1655  0.00
Li3 0.6080 0.2185 0.8345  0.00
Li4 0.7815 0.3920 0.3345  0.00
Mn1 0.0897 0.0897 0.7500  3.96
Mn2 0.2578 0.2578 0.2500  3.96
Mn3 0.7422 0.7422 0.7500  3.96
Mn4 0.9103 0.9103 0.2500  3.96
O1 0.0001 0.8060 0.5992  -0.11
O2 0.1940 0.9999 0.0992  -0.11
O3 0.8060 0.0001 0.9008  -0.11
O4 0.9999 0.1940 0.4008  -0.11
F1 0.1328 0.3743 0.8717  0.06
F2 0.2890 0.5337 0.3532  0.00
F3 0.3743 0.1328 0.6283  0.06
F4 0.4663 0.7110 0.8532  0.00
F5 0.5337 0.2890 0.1468  0.00
F6 0.6257 0.8672 0.3717  0.06
F7 0.7110 0.4663 0.6468  0.00
F8 0.8672 0.6257 0.1283  0.06

***

# 6
Below is crystalline LiMn2OF5 at its relaxed geometry, with properties calculated at the PBE with a Hubbard U level.

Properties
E (eV per atom): -5.8146

Cell: 4.7051 5.0490 17.5199 Å, 90.00 90.00 90.00°
Last column: magnetic moment on the atom in μB.
Fractional coordinates of all 36 atoms:
Li1 0.7231 0.7570 0.3701  0.00
Li2 0.7231 0.2570 0.1299  0.00
Li3 0.2769 0.7570 0.8701  0.00
Li4 0.2769 0.2570 0.6299  0.00
Mn1 0.7219 0.2423 0.4708  3.89
Mn2 0.7705 0.7505 0.6957  4.16
Mn3 0.7219 0.7423 0.0292  3.89
Mn4 0.7705 0.2505 0.8043  4.16
Mn5 0.2295 0.7505 0.1957  4.16
Mn6 0.2781 0.2423 0.9708  3.89
Mn7 0.2295 0.2505 0.3043  4.16
Mn8 0.2781 0.7423 0.5292  3.89
O1 0.5081 0.9285 0.4615  -0.27
O2 0.5081 0.4285 0.0385  -0.27
O3 0.4919 0.4285 0.5385  -0.27
O4 0.4919 0.9285 0.9615  -0.27
F1 0.4946 0.9196 0.1271  0.01
F2 0.4946 0.4196 0.3729  0.01
F3 0.5421 0.4348 0.7073  0.01
F4 0.5421 0.9348 0.7927  0.01
F5 0.4579 0.9348 0.2927  0.01
F6 0.4579 0.4348 0.2073  0.01
F7 0.5054 0.4196 0.8729  0.01
F8 0.5054 0.9196 0.6271  0.01
F9 0.0331 0.5545 0.9555  0.00
F10 0.0331 0.0545 0.5445  0.00
F11 0.0473 0.0854 0.8831  0.03
F12 0.0473 0.5854 0.6169  0.03
F13 0.0137 0.5773 0.2840  -0.02
F14 0.0137 0.0773 0.2160  -0.02
F15 0.9863 0.0773 0.7160  -0.02
F16 0.9863 0.5773 0.7840  -0.02
F17 0.9527 0.0854 0.3831  0.03
F18 0.9527 0.5854 0.1169  0.03
F19 0.9669 0.5545 0.4555  0.00
F20 0.9669 0.0545 0.0445  0.00

***

# 7
Below is crystalline Li2MnOF2 at its relaxed geometry, with properties calculated at the PBE with a Hubbard U level.

Properties
E (eV per atom): -5.7564

Cell: 4.1820 6.0015 6.1885 Å, 119.01 90.00 90.00°
Last column: magnetic moment on the atom in μB.
Fractional coordinates of all 12 atoms:
Li1 0.7500 0.3364 0.3348  0.00
Li2 0.2500 0.9984 0.3348  0.00
Li3 0.2500 0.6636 0.6652  0.00
Li4 0.7500 0.0016 0.6652  0.00
Mn1 0.7500 0.6734 0.0000  4.62
Mn2 0.2500 0.3266 0.0000  4.62
O1 0.2500 0.6862 0.0000  0.08
O2 0.7500 0.3138 0.0000  0.08
F1 0.7500 0.0237 0.3601  0.03
F2 0.2500 0.3364 0.3601  0.03
F3 0.7500 0.6636 0.6399  0.03
F4 0.2500 0.9763 0.6399  0.03

***

# 8
Below is crystalline Li2Mn4O5F3 at its relaxed geometry, with properties calculated at the PBE with a Hubbard U level.

Properties
E (eV per atom): -6.6040

Cell: 6.1268 6.1268 5.8960 Å, 61.59 61.59 58.58°
Last column: magnetic moment on the atom in μB.
Fractional coordinates of all 14 atoms:
Li1 0.8689 0.3823 0.3817  0.01
Li2 0.3823 0.8689 0.3817  0.01
Mn1 0.3884 0.3884 0.8626  3.46
Mn2 0.9877 0.9877 0.0093  4.60
Mn3 0.7539 0.7539 0.7324  4.52
Mn4 0.3753 0.3753 0.3759  3.99
O1 0.5985 0.1643 0.6184  -0.07
O2 0.5961 0.5961 0.6514  -0.07
O3 0.5825 0.1523 0.1328  -0.06
O4 0.1523 0.5825 0.1328  -0.06
O5 0.1643 0.5985 0.6184  -0.07
F1 0.1258 0.1258 0.5974  0.06
F2 0.1480 0.1480 0.1068  0.02
F3 0.6260 0.6260 0.1484  0.06

***

# 9
Below is crystalline LiMn2OF5 at its relaxed geometry, with properties calculated at the PBE with a Hubbard U level.

Properties
E (eV per atom): -5.8244

Cell: 4.7055 17.4007 5.0355 Å, 88.60 90.00 90.00°
Last column: magnetic moment on the atom in μB.
Fractional coordinates of all 36 atoms:
Li1 0.9757 0.3937 0.2505  0.00
Li2 0.9904 0.6068 0.7581  0.00
Li3 0.5243 0.8937 0.2505  0.00
Li4 0.5096 0.1068 0.7581  0.00
Mn1 0.9876 0.2803 0.7640  4.02
Mn2 0.0189 0.0570 0.2488  3.91
Mn3 0.0535 0.7107 0.2330  3.40
Mn4 0.0243 0.9425 0.7570  4.63
Mn5 0.4465 0.2107 0.2330  3.40
Mn6 0.4811 0.5570 0.2488  3.91
Mn7 0.5124 0.7803 0.7640  4.02
Mn8 0.4757 0.4425 0.7570  4.63
O1 0.2703 0.7857 0.0624  -0.26
O2 0.2533 0.6321 0.0816  -0.21
O3 0.2467 0.1321 0.0816  -0.21
O4 0.2297 0.2857 0.0624  -0.26
F1 0.2612 0.9647 0.0862  0.05
F2 0.2356 0.0442 0.5694  0.00
F3 0.2333 0.2062 0.5549  -0.01
F4 0.1932 0.3683 0.5719  0.03
F5 0.3068 0.8683 0.5719  0.03
F6 0.2667 0.7062 0.5549  -0.01
F7 0.2388 0.4647 0.0862  0.05
F8 0.2644 0.5442 0.5694  0.00
F9 0.7039 0.4715 0.4063  0.00
F10 0.7026 0.5432 0.9284  0.01
F11 0.7244 0.2859 0.4476  -0.01
F12 0.7968 0.7059 0.9382  -0.02
F13 0.7020 0.1344 0.4124  0.02
F14 0.7359 0.8671 0.9294  0.03
F15 0.7641 0.3671 0.9294  0.03
F16 0.7980 0.6344 0.4124  0.02
F17 0.7756 0.7859 0.4476  -0.01
F18 0.7032 0.2059 0.9382  -0.02
F19 0.7974 0.0432 0.9284  0.01
F20 0.7961 0.9715 0.4063  0.00

***

# 10
Below is crystalline Li4Mn5O9F at its relaxed geometry, with properties calculated at the PBE with a Hubbard U level.

Properties
E (eV per atom): -6.5631

Cell: 5.1771 5.1771 14.0938 Å, 75.02 75.02 32.24°
Last column: magnetic moment on the atom in μB.
Fractional coordinates of all 19 atoms:
Li1 0.7962 0.7962 0.3862  0.00
Li2 0.6071 0.6071 0.8117  0.01
Li3 0.3837 0.3837 0.1727  0.00
Li4 0.2089 0.2089 0.5890  0.00
Mn1 0.9198 0.9198 0.7070  -3.87
Mn2 0.6711 0.6711 0.0980  3.89
Mn3 0.3221 0.3221 0.9018  -2.00
Mn4 0.5026 0.5026 0.5029  3.86
Mn5 0.0885 0.0885 0.2983  -3.86
O1 0.8690 0.8690 0.5567  -0.07
O2 0.9527 0.9527 0.8593  -0.04
O3 0.7253 0.7253 0.2501  0.08
O4 0.5548 0.5548 0.6592  0.07
O5 0.4564 0.4564 0.3531  0.07
O6 0.2872 0.2872 0.7669  0.06
O7 0.3039 0.3039 0.0457  -0.06
O8 0.0397 0.0397 0.1504  -0.07
O9 0.1398 0.1398 0.4571  -0.07
F1 0.6710 0.6710 0.9339  0.04

***

# 11
Below is crystalline Li4MnO2F3 at its relaxed geometry, with properties calculated at the PBE with a Hubbard U level.

Properties
E (eV per atom): -5.4771

Cell: 5.1077 5.2525 7.6833 Å, 109.52 103.67 97.39°
Last column: magnetic moment on the atom in μB.
Fractional coordinates of all 20 atoms:
Li1 0.5000 0.5000 0.5000  0.00
Li2 0.0000 0.5000 0.0000  0.00
Li3 0.4950 0.8900 0.3177  0.00
Li4 0.5050 0.1100 0.6823  0.00
Li5 0.5101 0.2918 0.0895  0.00
Li6 0.4899 0.7082 0.9105  0.00
Li7 0.9952 0.2650 0.5917  0.00
Li8 0.0048 0.7350 0.4083  0.00
Mn1 0.9819 0.9029 0.7991  3.87
Mn2 0.0181 0.0971 0.2009  3.87
O1 0.2257 0.9062 0.0399  -0.04
O2 0.7743 0.0938 0.9601  -0.04
O3 0.7585 0.8937 0.5662  0.00
O4 0.2415 0.1063 0.4338  0.00
F1 0.7449 0.4862 0.7476  0.03
F2 0.2551 0.5138 0.2524  0.03
F3 0.7634 0.2896 0.3408  0.00
F4 0.2366 0.7104 0.6592  0.00
F5 0.7373 0.6863 0.1500  0.03
F6 0.2627 0.3137 0.8500  0.03

***

# 12
Below is crystalline Li7MnO4F2 at its relaxed geometry, with properties calculated at the PBE with a Hubbard U level.

Properties
E (eV per atom): -5.2435

Cell: 5.4977 5.6652 10.3195 Å, 75.79 76.93 61.29°
Last column: magnetic moment on the atom in μB.
Fractional coordinates of all 28 atoms:
Li1 0.0157 0.7269 0.8352  0.00
Li2 0.2265 0.8888 0.3203  0.00
Li3 0.3658 0.8563 0.6695  0.00
Li4 0.6319 0.8606 0.1762  0.00
Li5 0.0848 0.4268 0.6521  0.00
Li6 0.3600 0.5779 0.1569  0.00
Li7 0.7532 0.8532 0.5249  0.00
Li8 0.4002 0.2368 0.0213  0.00
Li9 0.6464 0.4740 0.8331  0.00
Li10 0.9702 0.5166 0.3481  0.00
Li11 0.4229 0.0696 0.8225  0.00
Li12 0.5547 0.1631 0.3272  0.00
Li13 0.7832 0.1441 0.6835  0.00
Li14 0.9315 0.2760 0.1774  0.00
Mn1 0.9969 0.0120 0.9961  3.88
Mn2 0.5139 0.4972 0.4956  3.88
O1 0.2572 0.9710 0.1152  -0.03
O2 0.2999 0.7891 0.8721  -0.03
O3 0.5843 0.7976 0.3777  -0.03
O4 0.2925 0.5210 0.3688  -0.04
O5 0.7120 0.5173 0.6264  -0.02
O6 0.4710 0.1743 0.6149  -0.03
O7 0.6683 0.2090 0.1252  -0.02
O8 0.7243 0.0790 0.8805  -0.03
F1 0.0686 0.7944 0.6330  0.02
F2 0.0441 0.3841 0.8563  0.03
F3 0.0078 0.5743 0.1404  0.02
F4 0.8968 0.1914 0.3698  0.03

***

What is the E in the third record?
-6.3274 eV per atom